Material: YGe3C
Method: DFT, PBE
State: optimized geometry

The value obtained for the formation energy is 2.08 eV per atom.

The space group is Pm-3m (No. 221) and the conventional cell measures 5.462, 5.462 and 5.462 Å, with angles of 90.00, 90.00 and 90.00 degrees. The inequivalent atoms are Y at (0.000, 0.000, 0.000), Ge at (0.000, 0.000, 0.500) and C at (0.500, 0.500, 0.500).

Material: Ir4Ru3Rh2
Method: DFT, PBE
State: optimized geometry

The value obtained for the formation energy is 0.04 eV per atom.

The space group is P3m1 (No. 156) and the conventional cell measures 2.7298, 2.7298 and 20.1090 Å, with angles of 90.00, 90.00 and 120.00 degrees. The inequivalent atoms are Ir at (0.0000, 0.0000, 0.0000), Ir at (0.0000, 0.0000, 0.2151), Ir at (0.3333, 0.6667, 0.3287), Ir at (0.3333, 0.6667, 0.5455), Ru at (0.0000, 0.0000, 0.4374), Ru at (0.3333, 0.6667, 0.1062), Ru at (0.3333, 0.6667, 0.7664), Rh at (0.0000, 0.0000, 0.6585) and Rh at (0.0000, 0.0000, 0.8725).

Material: CeZrCoRe
Method: DFT, PBE
State: optimized geometry

The value obtained for the formation energy is -0.05 eV per atom.

The space group is F-43m (No. 216) and the conventional cell measures 6.684, 6.684 and 6.684 Å, with angles of 90.00, 90.00 and 90.00 degrees. The inequivalent atoms are Ce at (0.000, 0.000, 0.000), Zr at (0.000, 0.000, 0.500), Co at (0.250, 0.250, 0.750) and Re at (0.250, 0.250, 0.250).

Material: Fe2SiBr
Method: DFT, PBE
State: optimized geometry

The energy relative to the elements, uncorrected is 307.4 meV/atom.

The space group is R3m (No. 160, hexagonal axes) and the conventional cell measures 3.4080, 3.4080 and 22.1007 Å, with angles of 90.00, 90.00 and 120.00 degrees. The inequivalent atoms are Fe at (0.0000, 0.0000, 0.0000), Fe at (0.0000, 0.0000, 0.2654), Si at (0.0000, 0.0000, 0.7166) and Br at (0.0000, 0.0000, 0.5232).

Material: BAsBr3
Method: DFT, PBE
State: optimized geometry

The energy relative to the elements, uncorrected is 847.1 meV/atom.

The space group is Pm-3m (No. 221) and the conventional cell measures 5.331, 5.331 and 5.331 Å, with angles of 90.00, 90.00 and 90.00 degrees. The inequivalent atoms are B at (0.000, 0.000, 0.000), As at (0.500, 0.500, 0.500) and Br at (0.000, 0.500, 0.500).

Material: Na3Sn6Br14
Method: DFT, PBE
State: optimized geometry

The energy relative to the elements, uncorrected is -873.7 meV/atom.

The space group is P3 (No. 143) and the conventional cell measures 11.0064, 11.0064 and 7.4001 Å, with angles of 90.00, 90.00 and 120.00 degrees. The inequivalent atoms are Na at (0.0000, 0.0000, 0.0000), Na at (0.3333, 0.6667, 0.1379), Na at (0.6667, 0.3333, 0.5218), Sn at (0.1022, 0.3115, 0.5078), Sn at (0.4503, 0.0399, 0.0009), Br at (0.0000, 0.0000, 0.6118), Br at (0.0838, 0.5548, 0.3773), Br at (0.1970, 0.7843, 0.8853), Br at (0.2656, 0.0997, 0.1964), Br at (0.3964, 0.1715, 0.6968) and Br at (0.6667, 0.3333, 0.1364).

Material: ScP2SBr
Method: DFT, PBE
State: optimized geometry

The energy relative to the elements, uncorrected is 302.9 meV/atom.

The space group is P4/mmm (No. 123) and the conventional cell measures 5.114, 5.114 and 4.751 Å, with angles of 90.00, 90.00 and 90.00 degrees. The inequivalent atoms are Sc at (0.000, 0.000, 0.000), P at (0.000, 0.500, 0.000), S at (0.000, 0.000, 0.500) and Br at (0.500, 0.500, 0.500).

Material: Tl2GaAg
Method: DFT, PBE
State: optimized geometry

The value obtained for the formation energy is 0.17 eV per atom.

The space group is R3m (No. 160, hexagonal axes) and the conventional cell measures 3.6300, 3.6300 and 26.3718 Å, with angles of 90.00, 90.00 and 120.00 degrees. The inequivalent atoms are Tl at (0.0000, 0.0000, 0.0000), Tl at (0.0000, 0.0000, 0.1689), Ga at (0.0000, 0.0000, 0.7512) and Ag at (0.0000, 0.0000, 0.5841).

| no. | density of states at the Fermi level (states/eV/atom) | uncorrected energy (eV per atom) |
| --- | --- | --- |
| 1 | 1.449 | -3.826 |
| 2 | 1.506 | -8.620 |
| 3 | 0.593 | -8.555 |
| 4 | 0.120 | -5.698 |
| 5 | 0.606 | -2.422 |
| 6 | 0.312 | -3.108 |
| 7 | 0.853 | -4.287 |
| 8 | 0.477 | -2.484 |